No. 1
# Cr3Ni5S12 (PBE-GGA, relaxed)
data_Cr3Ni5S12
_chemical_formula_sum 'Cr24 Ni40 S96'
_cell_length_a 13.6405
_cell_length_b 13.6405
_cell_length_c 13.6405
_cell_angle_alpha 90.00
_cell_angle_beta 90.00
_cell_angle_gamma 90.00
_symmetry_space_group_name_H-M 'I a -3 d'
_symmetry_Int_Tables_number 230
_symmetry_space_group_name_Hall '-I 4bd 2c 3'
loop_
_atom_site_label
_atom_site_fract_x
_atom_site_fract_y
_atom_site_fract_z
Cr1 0.0000 0.2500 0.1250
Ni1 0.0000 0.0000 0.0000
Ni2 0.0000 0.2500 0.3750
S1 0.0209 0.0640 0.6523
# - E_tot: -5.5981 eV/atom
# - Uncorrected formation energy: -0.2328 eV/atom
# - Volume: 15.86 Å³/atom



No. 2
# CrNiS2 (PBE-GGA, relaxed)
data_CrNiS2
_chemical_formula_sum 'Cr3 Ni3 S6'
_cell_length_a 3.6917
_cell_length_b 3.6917
_cell_length_c 17.5180
_cell_angle_alpha 90.00
_cell_angle_beta 90.00
_cell_angle_gamma 120.00
_symmetry_space_group_name_H-M 'R 3 m'
_symmetry_Int_Tables_number 160
_symmetry_space_group_name_Hall 'R 3 -2"'
loop_
_atom_site_label
_atom_site_fract_x
_atom_site_fract_y
_atom_site_fract_z
Cr1 0.0000 0.0000 0.0000
Ni1 0.0000 0.0000 0.4827
S1 0.0000 0.0000 0.1263
S2 0.0000 0.0000 0.6125
# - E_tot: -6.3397 eV/atom
# - Uncorrected formation energy: -0.4248 eV/atom
# - Volume: 17.23 Å³/atom



No. 3
# CrNiS2 (PBE-GGA, relaxed)
data_CrNiS2
_chemical_formula_sum 'Cr3 Ni3 S6'
_cell_length_a 3.3081
_cell_length_b 3.3081
_cell_length_c 20.9881
_cell_angle_alpha 90.00
_cell_angle_beta 90.00
_cell_angle_gamma 120.00
_symmetry_space_group_name_H-M 'R -3 m'
_symmetry_Int_Tables_number 166
_symmetry_space_group_name_Hall '-R 3 2"'
loop_
_atom_site_label
_atom_site_fract_x
_atom_site_fract_y
_atom_site_fract_z
Cr1 0.0000 0.0000 0.0000
Ni1 0.0000 0.0000 0.5000
S1 0.0000 0.0000 0.1078
# - E_tot: -5.8979 eV/atom
# - Uncorrected formation energy: 0.0170 eV/atom
# - Volume: 16.58 Å³/atom



No. 4
# CrNiS2 (PBE-GGA, relaxed)
data_CrNiS2
_chemical_formula_sum 'Cr3 Ni3 S6'
_cell_length_a 2.9851
_cell_length_b 2.9851
_cell_length_c 21.6295
_cell_angle_alpha 90.00
_cell_angle_beta 90.00
_cell_angle_gamma 120.00
_symmetry_space_group_name_H-M 'R -3 m'
_symmetry_Int_Tables_number 166
_symmetry_space_group_name_Hall '-R 3 2"'
loop_
_atom_site_label
_atom_site_fract_x
_atom_site_fract_y
_atom_site_fract_z
Cr1 0.0000 0.0000 0.0000
Ni1 0.0000 0.0000 0.5000
S1 0.0000 0.0000 0.4025
# - E_tot: -6.1946 eV/atom
# - Uncorrected formation energy: -0.2797 eV/atom
# - Volume: 13.91 Å³/atom



No. 5
# Cr2NiS4 (PBE-GGA, relaxed)
data_Cr2NiS4
_chemical_formula_sum 'Cr8 Ni4 S16'
_cell_length_a 6.8775
_cell_length_b 6.8775
_cell_length_c 9.7172
_cell_angle_alpha 90.00
_cell_angle_beta 90.00
_cell_angle_gamma 90.00
_symmetry_space_group_name_H-M 'I 41/a m d'
_symmetry_Int_Tables_number 141
loop_
_symmetry_equiv_pos_as_xyz
'x,y,z'
'-x,-y,-z'
'-y+1/4,x+3/4,z+1/4'
'y+1/4,-x+3/4,-z+1/4'
'-x+1/2,-y,z+1/2'
'x+1/2,y,-z+1/2'
'y+1/4,-x+1/4,z+3/4'
'-y+1/4,x+1/4,-z+3/4'
'x,-y,-z'
'-x,y,z'
'-y+1/4,-x+1/4,-z+3/4'
'y+1/4,x+1/4,z+3/4'
'-x+1/2,y,-z+1/2'
'x+1/2,-y,z+1/2'
'y+1/4,x+3/4,-z+1/4'
'-y+1/4,-x+3/4,z+1/4'
'x+1/2,y+1/2,z+1/2'
'-x+1/2,-y+1/2,-z+1/2'
'-y+3/4,x+1/4,z+3/4'
'y+3/4,-x+1/4,-z+3/4'
'-x,-y+1/2,z'
'x,y+1/2,-z'
'y+3/4,-x+3/4,z+1/4'
'-y+3/4,x+3/4,-z+1/4'
'x+1/2,-y+1/2,-z+1/2'
'-x+1/2,y+1/2,z+1/2'
'-y+3/4,-x+3/4,-z+1/4'
'y+3/4,x+3/4,z+1/4'
'-x,y+1/2,-z'
'x,-y+1/2,z'
'y+3/4,x+1/4,-z+3/4'
'-y+3/4,-x+1/4,z+3/4'
loop_
_atom_site_label
_atom_site_fract_x
_atom_site_fract_y
_atom_site_fract_z
Cr1 0.0000 0.0000 0.0000
Ni1 0.0000 0.2500 0.3750
S1 0.0000 0.0110 0.7553
# - E_tot: -6.5686 eV/atom
# - Uncorrected formation energy: -0.6346 eV/atom
# - Volume: 16.42 Å³/atom



No. 6
# Cr3NiS (PBE-GGA, relaxed)
data_Cr3NiS
_chemical_formula_sum 'Cr3 Ni1 S1'
_cell_length_a 4.5251
_cell_length_b 4.5251
_cell_length_c 4.5251
_cell_angle_alpha 90.00
_cell_angle_beta 90.00
_cell_angle_gamma 90.00
_symmetry_space_group_name_H-M 'P m -3 m'
_symmetry_Int_Tables_number 221
_symmetry_space_group_name_Hall '-P 4 2 3'
loop_
_atom_site_label
_atom_site_fract_x
_atom_site_fract_y
_atom_site_fract_z
Cr1 0.0000 0.0000 0.5000
Ni1 0.0000 0.0000 0.0000
S1 0.5000 0.5000 0.5000
# - E_tot: -6.6173 eV/atom
# - Uncorrected formation energy: 1.1385 eV/atom
# - Volume: 18.53 Å³/atom